La3SmNi: optimized geometry, PBE-GGA.

Unit cell a=3.793 b=6.442 c=13.351 alpha=85.65 beta=81.83 gamma=72.88
Positions (direct):
La  0.990  0.115  0.906
La  0.779  0.680  0.762
La  0.777  0.057  0.389
La  0.434  0.984  0.149
La  0.434  0.614  0.518
La  0.110  0.154  0.625
Sm  0.219  0.555  0.006
Sm  0.105  0.514  0.277
Ni  0.756  0.351  0.138
Ni  0.458  0.314  0.771

Values from the calculation:
Energy above the lowest structure with this stoichiometry = 0 meV per atom
E_form = -0.13 eV/atom
Space group = Cm